Here is K2Hg2BiTe4 after structural relaxation from Alexandria. Energies are from GGA-PBE.

Values from the calculation:
theoretical density = 6055 kg/m3
crystal system = monoclinic
total magnetization = 0.00 μB/cell
ΔE_f (raw) = -466.5 meV/atom
calculated volume = 36.529 A^3/atom

a b c (Å): 9.419 9.419 8.482
angles (deg): 112.65 112.65 28.43
Sites, in units of the cell vectors:
K 0.139 0.139 0.069
K 0.861 0.861 0.931
Hg 0.333 0.333 0.567
Hg 0.667 0.667 0.433
Bi 0.000 0.000 0.500
Te 0.198 0.198 0.677
Te 0.496 0.496 0.241
Te 0.504 0.504 0.759
Te 0.802 0.802 0.323